(1)
Compound: BaAl2Br
Source: the Alexandria database
Functional: PBE
Structure: optimized geometry

Computed properties:
V (Å³/atom): 30.70
Raw formation energy (kJ/mol of atoms): 16.00
Size of the total moment (μB per formula unit): 0.000
Density (g/cm3): 3.67

abc: 5.5792 5.5792 5.5792
angles: 60.00 60.00 60.00
Last column: nearest neighbours and their distance in Å.
Sites, in units of the cell vectors:
Ba1 0.5000 0.5000 0.5000  8 Al 3.42
Br1 0.0000 0.0000 0.0000  8 Al 3.42
Al1 0.2500 0.2500 0.2500  4 Ba 3.42, 4 Br 3.42
Al2 0.7500 0.7500 0.7500  4 Ba 3.42, 4 Br 3.42

---

(2)
Compound: LiPaF
Source: the Alexandria database
Functional: PBE
Structure: optimized geometry

Computed properties:
V (Å³/atom): 17.42
Raw formation energy (kJ/mol of atoms): -136.90
Size of the total moment (μB per formula unit): 0.000
Density (g/cm3): 8.17

abc: 3.1183 4.0047 8.5301
angles: 93.68 100.53 89.97
Last column: nearest neighbours and their distance in Å.
Sites, in units of the cell vectors:
F1 0.8070 0.8564 0.1143  3 Li 1.95
F2 0.1930 0.1436 0.8857  3 Li 1.95
Pa1 0.0529 0.2763 0.6056  1 F 2.44, 1 Pa 2.60
Pa2 0.9471 0.7237 0.3944  1 F 2.44, 1 Pa 2.60
Li1 0.3089 0.1477 0.1185  3 F 1.95
Li2 0.6911 0.8523 0.8815  3 F 1.95

---

(3)
Compound: Tc2MoHAu
Source: the Alexandria database
Functional: PBE
Structure: optimized geometry

Computed properties:
Total energy (eV per atom): -7.49
V (Å³/atom): 12.72
Size of the total moment (μB per formula unit): 0.000
Density (g/cm3): 12.79

abc: 3.9998 3.9998 3.9767
angles: 90.00 90.00 90.00
Last column: nearest neighbours and their distance in Å.
Sites, in units of the cell vectors:
H1 0.0000 0.0000 0.0000  2 Mo 1.99, 4 Tc 2.00
Tc1 0.0000 0.5000 0.0000  2 H 2.00
Tc2 0.5000 0.0000 0.0000  2 H 2.00
Mo1 0.0000 0.0000 0.5000  2 H 1.99
Au1 0.5000 0.5000 0.5000  8 Tc 2.82, 4 Mo 2.83

---

(4)
Compound: Li2Ag6Pb
Source: the Alexandria database
Functional: PBE
Structure: optimized geometry

Computed properties:
Total energy (eV per atom): -2.82
V (Å³/atom): 18.24
Size of the total moment (μB per formula unit): 0.000
Density (g/cm3): 8.78

abc: 4.6104 5.6345 7.3125
angles: 113.11 108.38 90.00
Last column: nearest neighbours and their distance in Å.
Sites, in units of the cell vectors:
Ag1 0.6144 0.1500 0.2289  2 Li 2.79, 7 Ag 2.88-3.08, 1 Pb 3.00
Ag2 0.7370 0.8443 0.4739  1 Li 2.69, 6 Ag 2.83-2.90
Ag3 0.1630 0.5047 0.3259  6 Ag 2.84-2.94, 2 Li 2.84-2.87
Ag4 0.2630 0.1557 0.5261  1 Li 2.69, 6 Ag 2.83-2.90
Ag5 0.3856 0.8500 0.7711  2 Li 2.79, 7 Ag 2.88-3.08, 1 Pb 3.00
Ag6 0.8370 0.4953 0.6741  6 Ag 2.84-2.94, 2 Li 2.84-2.87
Li1 0.9450 0.1568 0.8899  5 Ag 2.69-2.87, 1 Li 2.77, 2 Pb 2.90
Li2 0.0550 0.8432 0.1101  5 Ag 2.69-2.87, 1 Li 2.77, 2 Pb 2.90
Pb1 0.5000 0.5000 0.0000  4 Li 2.90, 8 Ag 3.00-3.22

---

(5)
Compound: SiHg2Sb
Source: the Alexandria database
Functional: PBE
Structure: optimized geometry

Computed properties:
V (Å³/atom): 23.46
Raw formation energy (kJ/mol of atoms): 36.32
Size of the total moment (μB per formula unit): 0.000
Density (g/cm3): 9.75

abc: 6.1587 6.1587 6.1587
angles: 149.16 127.73 61.93
Last column: nearest neighbours and their distance in Å.
Sites, in units of the cell vectors:
Hg1 0.4763 0.4763 0.0000  2 Si 2.90, 4 Hg 3.21
Hg2 0.0237 0.0237 0.0000  2 Si 2.90, 4 Hg 3.21
Si1 0.2500 0.7500 0.5000  4 Hg 2.90, 4 Sb 3.17
Sb1 0.7500 0.2500 0.5000  4 Si 3.17, 2 Sb 3.27, 4 Hg 3.32

---

(6)
Compound: KTeAsSe2
Source: the Alexandria database
Functional: PBE
Structure: optimized geometry

Computed properties:
V (Å³/atom): 33.27
Raw formation energy (kJ/mol of atoms): 4.65
Size of the total moment (μB per formula unit): 1.353
Density (g/cm3): 3.99

abc: 5.5401 5.5401 5.4196
angles: 90.00 90.00 90.00
Last column: nearest neighbours and their distance in Å.
Sites, in units of the cell vectors:
K1 0.5000 0.5000 0.5000  8 Se 3.88, 4 As 3.92
As1 0.0000 0.0000 0.5000  2 Te 2.71
Te1 0.0000 0.0000 0.0000  2 As 2.71, 4 Se 2.77
Se1 0.5000 0.0000 0.0000  2 Te 2.77
Se2 0.0000 0.5000 0.0000  2 Te 2.77

---

(7)
Compound: HfTe2Ir
Source: the Alexandria database
Functional: PBE
Structure: optimized geometry

Computed properties:
V (Å³/atom): 20.69
Raw formation energy (kJ/mol of atoms): 4.03
Size of the total moment (μB per formula unit): 0.000
Density (g/cm3): 12.56

abc: 4.8916 4.8916 4.8916
angles: 60.00 60.00 60.00
Last column: nearest neighbours and their distance in Å.
Sites, in units of the cell vectors:
Ir1 0.5000 0.5000 0.5000  8 Te 3.00
Te1 0.2500 0.2500 0.2500  4 Ir 3.00, 4 Hf 3.00
Te2 0.7500 0.7500 0.7500  4 Ir 3.00, 4 Hf 3.00
Hf1 0.0000 0.0000 0.0000  8 Te 3.00

---

(8)
Compound: Li2AcSm2Ga2
Source: the Alexandria database
Functional: PBE
Structure: optimized geometry

Computed properties:
Total energy (eV per atom): -3.63
V (Å³/atom): 25.95
Size of the total moment (μB per formula unit): 0.000
Density (g/cm3): 6.23

abc: 4.7626 4.7626 9.6479
angles: 75.71 75.71 60.00
Last column: nearest neighbours and their distance in Å.
Sites, in units of the cell vectors:
Sm1 0.8707 0.8707 0.3878  3 Ga 3.07, 3 Li 3.09
Sm2 0.1293 0.1293 0.6122  3 Ga 3.07, 3 Li 3.09
Ga1 0.7469 0.7469 0.7593  3 Li 2.75, 3 Sm 3.07
Ga2 0.2531 0.2531 0.2407  3 Li 2.75, 3 Sm 3.07
Ac1 0.0000 0.0000 0.0000  6 Li 3.50, 6 Ga 3.54, 2 Sm 3.59
Li1 0.4117 0.4117 0.7650  3 Ga 2.75
Li2 0.5883 0.5883 0.2350  3 Ga 2.75

---

(9)
Compound: Tb4Er3Tm2
Source: the Alexandria database
Functional: PBE
Structure: optimized geometry

Computed properties:
Total energy (eV per atom): -4.47
V (Å³/atom): 31.46
Size of the total moment (μB per formula unit): 0.001
Density (g/cm3): 8.65

abc: 6.9859 13.1482 13.1482
angles: 42.21 48.08 48.08
Last column: nearest neighbours and their distance in Å.
Sites, in units of the cell vectors:
Tb1 0.4213 0.5094 0.1551  2 Tb 3.24-3.61, 4 Tm 3.33-3.52, 3 Er 3.53-3.56
Tb2 0.0067 0.1703 0.8245  1 Tm 3.24, 4 Tb 3.24-3.50, 6 Er 3.46-3.56
Tb3 0.5067 0.8245 0.1703  1 Tm 3.24, 4 Tb 3.24-3.50, 6 Er 3.46-3.56
Tb4 0.9213 0.1551 0.5094  2 Tb 3.24-3.61, 4 Tm 3.33-3.52, 3 Er 3.53-3.56
Tb5 0.9933 0.8297 0.1755  1 Tm 3.24, 4 Tb 3.24-3.50, 6 Er 3.46-3.56
Tb6 0.0787 0.8449 0.4906  2 Tb 3.24-3.61, 4 Tm 3.33-3.52, 3 Er 3.53-3.56
Tb7 0.5787 0.4906 0.8449  2 Tb 3.24-3.61, 4 Tm 3.33-3.52, 3 Er 3.53-3.56
Tb8 0.4933 0.1755 0.8297  1 Tm 3.24, 4 Tb 3.24-3.50, 6 Er 3.46-3.56
Tm1 0.0683 0.4975 0.8463  5 Tb 3.24-3.52, 3 Er 3.49-3.57, 1 Tm 3.52
Tm2 0.4317 0.1537 0.5025  5 Tb 3.24-3.52, 3 Er 3.49-3.57, 1 Tm 3.52
Tm3 0.9317 0.5025 0.1537  5 Tb 3.24-3.52, 3 Er 3.49-3.57, 1 Tm 3.52
Tm4 0.5683 0.8463 0.4975  5 Tb 3.24-3.52, 3 Er 3.49-3.57, 1 Tm 3.52
Er1 0.3749 0.1482 0.1494  7 Tb 3.46-3.56, 3 Tm 3.49-3.57, 2 Er 3.49
Er2 0.2500 0.4997 0.5003  2 Er 3.49, 8 Tb 3.55-3.76, 4 Tm 3.80
Er3 0.1251 0.8506 0.8518  7 Tb 3.46-3.56, 3 Tm 3.49-3.57, 2 Er 3.49
Er4 0.6251 0.8518 0.8506  7 Tb 3.46-3.56, 3 Tm 3.49-3.57, 2 Er 3.49
Er5 0.8749 0.1494 0.1482  7 Tb 3.46-3.56, 3 Tm 3.49-3.57, 2 Er 3.49
Er6 0.7500 0.5003 0.4997  2 Er 3.49, 8 Tb 3.55-3.76, 4 Tm 3.80

---

(10)
Compound: VSe2BrN
Source: the Alexandria database
Functional: PBE
Structure: optimized geometry

Computed properties:
V (Å³/atom): 18.62
Raw formation energy (kJ/mol of atoms): 21.20
Size of the total moment (μB per formula unit): 0.000
Density (g/cm3): 5.40

abc: 5.0354 5.0354 3.6721
angles: 90.00 90.00 90.00
Last column: nearest neighbours and their distance in Å.
Sites, in units of the cell vectors:
N1 0.0000 0.0000 0.5000  2 V 1.84
V1 0.0000 0.0000 0.0000  2 N 1.84
Se1 0.5000 0.0000 0.0000  2 V 2.52
Se2 0.0000 0.5000 0.0000  2 V 2.52
Br1 0.5000 0.5000 0.5000  8 Se 3.12

---

(11)
Compound: YMn2Fe
Source: the Alexandria database
Functional: PBE
Structure: optimized geometry

Computed properties:
Total energy (eV per atom): -8.09
V (Å³/atom): 17.18
Size of the total moment (μB per formula unit): 5.944
Density (g/cm3): 6.15

abc: 4.0350 4.0350 5.4025
angles: 68.07 68.07 59.99
Last column: nearest neighbours and their distance in Å.
Sites, in units of the cell vectors:
Mn1 0.9527 0.9527 0.1419  3 Fe 2.39, 3 Mn 2.56
Mn2 0.5473 0.5473 0.3581  3 Fe 2.39, 3 Mn 2.56
Y1 0.7500 0.7500 0.7500  8 Mn 2.96-3.01
Fe1 0.2500 0.2500 0.2500  6 Mn 2.39

---

(12)
Compound: InFe2GeRu
Source: the Alexandria database
Functional: PBE
Structure: optimized geometry

Computed properties:
Total energy (eV per atom): -5.50
V (Å³/atom): 18.94
Size of the total moment (μB per formula unit): 6.012
Density (g/cm3): 7.02

abc: 4.3446 5.0178 4.3446
angles: 90.00 90.00 90.00
Last column: nearest neighbours and their distance in Å.
Sites, in units of the cell vectors:
In1 0.0000 0.5000 0.0000  2 Ge 2.51
Ge1 0.0000 0.0000 0.0000  4 Fe 2.17
Fe1 0.5000 0.0000 0.0000  2 Ge 2.17
Fe2 0.0000 0.0000 0.5000  2 Ge 2.17
Ru1 0.5000 0.5000 0.5000  4 In 3.07, 8 Fe 3.32

---

(13)
Compound: KLa2Pb2
Source: the Alexandria database
Functional: PBE
Structure: optimized geometry

Computed properties:
Total energy (eV per atom): -3.79
V (Å³/atom): 45.03
Size of the total moment (μB per formula unit): 0.743
Density (g/cm3): 5.39

abc: 6.0235 6.0235 7.5265
angles: 66.41 66.41 90.00
Last column: nearest neighbours and their distance in Å.
Sites, in units of the cell vectors:
Pb1 0.2500 0.7500 0.5000  4 La 3.19
Pb2 0.7500 0.2500 0.5000  4 La 3.19
La1 0.6649 0.6649 0.6701  4 Pb 3.19
La2 0.3351 0.3351 0.3299  4 Pb 3.19
K1 0.0000 0.0000 0.0000  2 La 4.16, 8 Pb 4.32